[1]
Compound: Pr6Bi3TeP2
Source: Alexandria
Functional: PBE
Structure: relaxed

```
data_Pr6Bi3TeP2
_cell_length_a 19.515
_cell_length_b 4.450
_cell_length_c 9.015
_cell_angle_alpha 90.00
_cell_angle_beta 103.53
_cell_angle_gamma 90.00
_space_group_name_H-M_alt 'C 1 2/m 1'
_space_group_IT_number 12
_space_group_name_Hall '-C 2y'
loop_
_atom_site_label
_atom_site_type_symbol
_atom_site_fract_x
_atom_site_fract_y
_atom_site_fract_z
_atom_site_occupancy
Pr1 Pr 0.012 0.000 0.257 1
Pr2 Pr 0.171 0.500 0.107 1
Pr3 Pr 0.174 0.500 0.568 1
Bi1 Bi 0.000 0.500 0.500 1
Bi2 Bi 0.162 0.000 0.832 1
Te1 Te 0.000 0.500 0.000 1
P1 P 0.169 0.000 0.336 1
```

Computed properties:
* Fermi-level density of states: 5.26 states/eV/cell
* calculated density: 7.252 g cm⁻³
* energy relative to the elements, uncorrected: -1.2152 eV/atom


[2]
Compound: Bi3PPt
Source: Alexandria
Functional: PBE
Structure: relaxed

```
data_Bi3PPt
_cell_length_a 5.397
_cell_length_b 5.397
_cell_length_c 5.397
_cell_angle_alpha 90.00
_cell_angle_beta 90.00
_cell_angle_gamma 90.00
_space_group_name_H-M_alt 'P m -3 m'
_space_group_IT_number 221
_space_group_name_Hall '-P 4 2 3'
loop_
_atom_site_label
_atom_site_type_symbol
_atom_site_fract_x
_atom_site_fract_y
_atom_site_fract_z
_atom_site_occupancy
Bi1 Bi 0.000 0.000 0.500 1
P1 P 0.500 0.500 0.500 1
Pt1 Pt 0.000 0.000 0.000 1
```

Computed properties:
* uncorrected energy: -3.94 eV/atom
* Fermi-level density of states: 3.43 states/eV/cell
* calculated density: 9.011 g cm⁻³


[3]
Compound: BiPPt2
Source: Alexandria
Functional: PBE
Structure: relaxed

```
data_BiPPt2
_cell_length_a 4.986
_cell_length_b 4.986
_cell_length_c 14.329
_cell_angle_alpha 90.00
_cell_angle_beta 90.00
_cell_angle_gamma 90.00
_space_group_name_H-M_alt 'I -4 2 d'
_space_group_IT_number 122
_space_group_name_Hall 'I -4 2bw'
loop_
_atom_site_label
_atom_site_type_symbol
_atom_site_fract_x
_atom_site_fract_y
_atom_site_fract_z
_atom_site_occupancy
Bi1 Bi 0.000 0.000 0.000 1
P1 P 0.000 0.000 0.500 1
Pt1 Pt 0.148 0.250 0.625 1
```

Computed properties:
* Fermi-level density of states: 5.80 states/eV/cell
* polymorph energy (0 for the lowest one): 0 meV/atom
* calculated density: 11.751 g cm⁻³


[4]
Compound: Bi2PPt6
Source: Alexandria
Functional: PBE
Structure: relaxed

```
data_Bi2PPt6
_cell_length_a 10.032
_cell_length_b 5.733
_cell_length_c 5.993
_cell_angle_alpha 90.00
_cell_angle_beta 106.44
_cell_angle_gamma 90.00
_space_group_name_H-M_alt 'C 1 2/m 1'
_space_group_IT_number 12
_space_group_name_Hall '-C 2y'
loop_
_atom_site_label
_atom_site_type_symbol
_atom_site_fract_x
_atom_site_fract_y
_atom_site_fract_z
_atom_site_occupancy
Bi1 Bi 0.139 0.000 0.343 1
P1 P 0.000 0.500 0.500 1
Pt1 Pt 0.119 0.500 0.206 1
Pt2 Pt 0.135 0.246 0.799 1
```

Computed properties:
* uncorrected energy: -5.71 eV/atom
* Fermi-level density of states: 11.39 states/eV/cell
* calculated density: 16.268 g cm⁻³


[5]
Compound: BiPPt4
Source: Alexandria
Functional: PBE
Structure: relaxed

```
data_BiPPt4
_cell_length_a 10.513
_cell_length_b 5.804
_cell_length_c 7.698
_cell_angle_alpha 90.00
_cell_angle_beta 113.68
_cell_angle_gamma 90.00
_space_group_name_H-M_alt 'C 1 2/m 1'
_space_group_IT_number 12
_space_group_name_Hall '-C 2y'
loop_
_atom_site_label
_atom_site_type_symbol
_atom_site_fract_x
_atom_site_fract_y
_atom_site_fract_z
_atom_site_occupancy
Bi1 Bi 0.184 0.000 0.293 1
P1 P 0.045 0.500 0.291 1
Pt1 Pt 0.000 0.245 0.500 1
Pt2 Pt 0.103 0.241 0.919 1
Pt3 Pt 0.249 0.500 0.256 1
```

Computed properties:
* uncorrected energy: -5.86 eV/atom
* Fermi-level density of states: 10.90 states/eV/cell
* calculated density: 15.756 g cm⁻³


[6]
Compound: BiP2Pt8
Source: Alexandria
Functional: PBE
Structure: relaxed

```
data_BiP2Pt8
_cell_length_a 14.296
_cell_length_b 5.568
_cell_length_c 4.880
_cell_angle_alpha 90.00
_cell_angle_beta 106.62
_cell_angle_gamma 90.00
_space_group_name_H-M_alt 'C 1 2/m 1'
_space_group_IT_number 12
_space_group_name_Hall '-C 2y'
loop_
_atom_site_label
_atom_site_type_symbol
_atom_site_fract_x
_atom_site_fract_y
_atom_site_fract_z
_atom_site_occupancy
Bi1 Bi 0.000 0.000 0.000 1
P1 P 0.226 0.000 0.823 1
Pt1 Pt 0.100 0.256 0.585 1
Pt2 Pt 0.105 0.500 0.089 1
Pt3 Pt 0.223 0.000 0.298 1
```

Computed properties:
* uncorrected energy: -5.89 eV/atom
* Fermi-level density of states: 16.84 states/eV/cell
* calculated density: 16.342 g cm⁻³


> Which of these has the lowest Fermi-level density of states?

Bi3PPt


> What is the Fermi-level density of states in the sixth record?

16.84 states/eV/cell